The following is a PBE-GGA calculation of a geometry-optimized Hf2ZnHg structure, from Alexandria via LeMat-Bulk.

**Relative energy among the computed polymorphs**: 380.3 meV per atom
**ΔH_f (0 K)**: 0.2964 eV per atom
**E_tot**: -40.6 eV per cell

Cell lengths 7.6421, 7.6421, 6.1401 Å; angles 51.51, 51.51, 90.00 degrees
With the nearest neighbours (Å) after each atom.
Element x y z (fractional)
Zn1 0.5000 0.5000 0.0000  4 Hf 2.73, 2 Hg 2.92
Zn2 0.2500 0.7500 0.5000  4 Hf 2.73, 2 Hg 2.92
Hf1 0.6126 0.1250 0.2500  2 Zn 2.73, 2 Hg 2.86, 2 Hf 2.92
Hf2 0.1374 0.6250 0.2500  2 Zn 2.73, 2 Hg 2.86, 2 Hf 2.92
Hf3 0.3750 0.3874 0.7500  2 Zn 2.73, 2 Hg 2.86, 2 Hf 2.92
Hf4 0.8750 0.8626 0.7500  2 Zn 2.73, 2 Hg 2.86, 2 Hf 2.92
Hg1 0.0000 0.0000 0.0000  4 Hf 2.86, 2 Zn 2.92
Hg2 0.7500 0.2500 0.5000  4 Hf 2.86, 2 Zn 2.92

The following is a PBE-GGA calculation of a geometry-optimized Hf6ZnHg2 structure, from Alexandria via LeMat-Bulk.

**ΔH_f (0 K)**: 0.3964 eV per atom
**E_tot**: -58.0 eV per cell

Cell lengths 4.6306, 6.5965, 8.0500 Å; angles 114.19, 106.63, 90.00 degrees
With the nearest neighbours (Å) after each atom.
Element x y z (fractional)
Hf1 0.1602 0.4024 0.3209  1 Zn 2.75, 3 Hg 2.87-2.89
Hf2 0.8398 0.0815 0.6791  1 Zn 2.75, 3 Hg 2.87-2.89
Hf3 0.8398 0.5976 0.6791  1 Zn 2.75, 3 Hg 2.87-2.89
Hf4 0.5000 0.2368 0.0000  2 Zn 2.79, 2 Hg 2.90, 1 Hf 3.12
Hf5 0.1602 0.9185 0.3209  1 Zn 2.75, 3 Hg 2.87-2.89
Hf6 0.5000 0.7632 0.0000  2 Zn 2.79, 2 Hg 2.90, 1 Hf 3.12
Zn1 0.0000 0.0000 0.0000  8 Hf 2.75-2.79
Hg1 0.6665 0.6669 0.3339  8 Hf 2.87-2.90
Hg2 0.3335 0.3331 0.6661  8 Hf 2.87-2.90

The following is a PBE-GGA calculation of a geometry-optimized HfZnHg3 structure, from Alexandria via LeMat-Bulk.

**Relative energy among the computed polymorphs**: 58.1 meV per atom
**ΔH_f (0 K)**: 0.7093 eV per atom
**E_tot**: -8.6 eV per cell

Cell lengths 5.6457, 5.6457, 5.6457 Å; angles 90.00, 90.00, 90.00 degrees
With the nearest neighbours (Å) after each atom.
Element x y z (fractional)
Zn1 0.5000 0.5000 0.5000  12 Hg 3.99
Hf1 0.0000 0.0000 0.0000  6 Hg 2.82
Hg1 0.0000 0.5000 0.0000  2 Hf 2.82
Hg2 0.0000 0.0000 0.5000  2 Hf 2.82
Hg3 0.5000 0.0000 0.0000  2 Hf 2.82

The following is a PBE-GGA calculation of a geometry-optimized Hf4Zn3Hg structure, from Alexandria via LeMat-Bulk.

**ΔH_f (0 K)**: -0.1173 eV per atom
**E_tot**: -44.9 eV per cell

Cell lengths 3.3445, 4.7712, 9.4785 Å; angles 90.00, 90.00, 90.00 degrees
With the nearest neighbours (Å) after each atom.
Element x y z (fractional)
Zn1 0.5000 0.0000 0.2513  8 Hf 2.89-2.91
Zn2 0.5000 0.5000 0.5000  8 Hf 2.82-2.91
Zn3 0.5000 0.0000 0.7487  8 Hf 2.89-2.91
Hf1 0.0000 0.0000 0.5000  8 Zn 2.89-2.91
Hf2 0.0000 0.5000 0.7392  6 Zn 2.82-2.91, 2 Hg 2.98
Hf3 0.0000 0.0000 0.0000  4 Zn 2.91, 4 Hg 2.91
Hf4 0.0000 0.5000 0.2608  6 Zn 2.82-2.91, 2 Hg 2.98
Hg1 0.5000 0.5000 0.0000  8 Hf 2.91-2.98

The following is a PBE-GGA calculation of a geometry-optimized Hf2ZnHg2 structure, from Alexandria via LeMat-Bulk.

**Relative energy among the computed polymorphs**: 129.4 meV per atom
**ΔH_f (0 K)**: 0.2087 eV per atom
**E_tot**: -41.5 eV per cell

Cell lengths 7.3682, 7.3682, 4.0792 Å; angles 90.00, 90.00, 90.00 degrees
With the nearest neighbours (Å) after each atom.
Element x y z (fractional)
Zn1 0.0000 0.0000 0.0000  4 Hf 2.79
Zn2 0.5000 0.5000 0.0000  4 Hf 2.79
Hf1 0.3464 0.8464 0.0000  2 Zn 2.79, 6 Hg 2.89-3.03
Hf2 0.8464 0.6536 0.0000  2 Zn 2.79, 6 Hg 2.89-3.03
Hf3 0.6536 0.1536 0.0000  2 Zn 2.79, 6 Hg 2.89-3.03
Hf4 0.1536 0.3464 0.0000  2 Zn 2.79, 6 Hg 2.89-3.03
Hg1 0.1503 0.6503 0.5000  6 Hf 2.89-3.03, 1 Hg 3.13
Hg2 0.6503 0.8497 0.5000  6 Hf 2.89-3.03, 1 Hg 3.13
Hg3 0.8497 0.3497 0.5000  6 Hf 2.89-3.03, 1 Hg 3.13
Hg4 0.3497 0.1503 0.5000  6 Hf 2.89-3.03, 1 Hg 3.13

The following is a PBE-GGA calculation of a geometry-optimized Hf7Zn2Hg2 structure, from Alexandria via LeMat-Bulk.

**ΔH_f (0 K)**: 0.0218 eV per atom
**E_tot**: -72.6 eV per cell

Cell lengths 5.9299, 7.7692, 6.1949 Å; angles 89.99, 121.55, 106.22 degrees
With the nearest neighbours (Å) after each atom.
Element x y z (fractional)
Hf1 0.1844 0.3715 0.5925  2 Zn 2.94-3.01, 3 Hg 3.02-3.10, 7 Hf 3.04-3.20
Hf2 0.3623 0.7525 0.9315  2 Zn 2.74, 1 Hf 3.04
Hf3 0.8156 0.6285 0.4075  2 Zn 2.94-3.01, 3 Hg 3.02-3.10, 7 Hf 3.04-3.20
Hf4 0.6377 0.2475 0.0685  2 Zn 2.74, 1 Hf 3.04
Hf5 0.0000 0.0000 0.0000  2 Hg 2.87
Hf6 0.3626 0.7519 0.4312  2 Zn 2.74, 1 Hf 3.04
Hf7 0.6374 0.2481 0.5688  2 Zn 2.74, 1 Hf 3.04
Zn1 0.7619 0.9943 0.3819  1 Zn 2.38
Zn2 0.2381 0.0057 0.6181  1 Zn 2.38
Hg1 0.7907 0.6097 0.8954  10 Hf 2.87-3.15, 1 Hg 3.12
Hg2 0.2093 0.3903 0.1046  10 Hf 2.87-3.15, 1 Hg 3.12

The following is a PBE-GGA calculation of a geometry-optimized Hf6Zn5Hg structure, from Alexandria via LeMat-Bulk.

**ΔH_f (0 K)**: -0.1416 eV per atom
**E_tot**: -68.1 eV per cell

Cell lengths 4.7277, 8.1703, 8.1703 Å; angles 119.92, 106.82, 106.82 degrees
With the nearest neighbours (Å) after each atom.
Element x y z (fractional)
Zn1 0.5000 0.1635 0.8365  8 Hf 2.87-2.91
Zn2 0.0000 0.3325 0.6675  8 Hf 2.86-2.88
Zn3 0.5000 0.5000 0.5000  8 Hf 2.85-2.91
Zn4 0.0000 0.6675 0.3325  8 Hf 2.86-2.88
Zn5 0.5000 0.8365 0.1635  8 Hf 2.87-2.91
Hf1 0.2549 0.0848 0.4250  7 Zn 2.86-2.91, 1 Hg 2.95
Hf2 0.7451 0.5750 0.9152  7 Zn 2.86-2.91, 1 Hg 2.95
Hf3 0.7603 0.2603 0.2603  6 Zn 2.85-2.89, 2 Hg 2.93
Hf4 0.2397 0.7397 0.7397  6 Zn 2.85-2.89, 2 Hg 2.93
Hf5 0.2549 0.4250 0.0848  7 Zn 2.86-2.91, 1 Hg 2.95
Hf6 0.7451 0.9152 0.5750  7 Zn 2.86-2.91, 1 Hg 2.95
Hg1 0.0000 0.0000 0.0000  8 Hf 2.93-2.95

The following is a PBE-GGA calculation of a geometry-optimized HfZnHg3 structure, from Alexandria via LeMat-Bulk.

**Relative energy among the computed polymorphs**: 0.0 meV per atom
**ΔH_f (0 K)**: 0.6512 eV per atom
**E_tot**: -8.9 eV per cell

Cell lengths 4.9467, 4.9467, 4.9467 Å; angles 90.00, 90.00, 90.00 degrees
With the nearest neighbours (Å) after each atom.
Element x y z (fractional)
Zn1 0.0000 0.0000 0.0000  6 Hg 2.47
Hf1 0.5000 0.5000 0.5000  12 Hg 3.50
Hg1 0.0000 0.5000 0.0000  2 Zn 2.47
Hg2 0.0000 0.0000 0.5000  2 Zn 2.47
Hg3 0.5000 0.0000 0.0000  2 Zn 2.47

The following is a PBE-GGA calculation of a geometry-optimized Hf2ZnHg structure, from Alexandria via LeMat-Bulk.

**Relative energy among the computed polymorphs**: 343.3 meV per atom
**ΔH_f (0 K)**: 0.2594 eV per atom
**E_tot**: -20.4 eV per cell

Cell lengths 4.2290, 4.2290, 6.2790 Å; angles 70.32, 70.32, 60.00 degrees
With the nearest neighbours (Å) after each atom.
Element x y z (fractional)
Hf1 0.0677 0.0677 0.7970  3 Zn 2.71, 3 Hg 2.95
Hf2 0.2700 0.2700 0.1901  3 Zn 2.67
Zn1 0.6661 0.6661 0.0018  6 Hf 2.67-2.71, 1 Hg 2.95
Hg1 0.4963 0.4963 0.5112  1 Zn 2.95, 6 Hf 2.95-3.07

The following is a PBE-GGA calculation of a geometry-optimized Hf2ZnHg2 structure, from Alexandria via LeMat-Bulk.

**Relative energy among the computed polymorphs**: 0.0 meV per atom
**ΔH_f (0 K)**: 0.0794 eV per atom
**E_tot**: -42.8 eV per cell

Cell lengths 6.9359, 6.9359, 4.3403 Å; angles 90.00, 90.00, 90.00 degrees
With the nearest neighbours (Å) after each atom.
Element x y z (fractional)
Zn1 0.0000 0.0000 0.0000  4 Hg 2.66
Zn2 0.5000 0.5000 0.0000  4 Hg 2.66
Hf1 0.1640 0.6640 0.5000  6 Hg 2.87-3.05
Hf2 0.6640 0.8360 0.5000  6 Hg 2.87-3.05
Hf3 0.8360 0.3360 0.5000  6 Hg 2.87-3.05
Hf4 0.3360 0.1640 0.5000  6 Hg 2.87-3.05
Hg1 0.3556 0.8556 0.0000  2 Zn 2.66, 1 Hg 2.83, 2 Hf 2.87
Hg2 0.8556 0.6444 0.0000  2 Zn 2.66, 1 Hg 2.83, 2 Hf 2.87
Hg3 0.6444 0.1444 0.0000  2 Zn 2.66, 1 Hg 2.83, 2 Hf 2.87
Hg4 0.1444 0.3556 0.0000  2 Zn 2.66, 1 Hg 2.83, 2 Hf 2.87

The following is a PBE-GGA calculation of a geometry-optimized Hf2Zn3Hg structure, from Alexandria via LeMat-Bulk.

**ΔH_f (0 K)**: 0.0270 eV per atom
**E_tot**: -23.9 eV per cell

Cell lengths 4.1538, 3.3221, 8.7773 Å; angles 100.91, 103.69, 90.00 degrees
With the nearest neighbours (Å) after each atom.
Element x y z (fractional)
Hf1 0.1400 0.1400 0.2800  10 Zn 2.91-2.95
Hf2 0.8522 0.3522 0.7045  6 Zn 2.88-2.89, 4 Hg 3.09
Zn1 0.7106 0.7106 0.4213  3 Zn 2.42
Zn2 0.5659 0.5659 0.1317  1 Zn 2.42, 2 Hg 2.61
Zn3 0.2854 0.7854 0.5709  2 Zn 2.42, 1 Hg 2.68
Hg1 0.4458 0.9458 0.8916  3 Zn 2.61-2.68

The following is a PBE-GGA calculation of a geometry-optimized Hf3Zn4Hg2 structure, from Alexandria via LeMat-Bulk.

**ΔH_f (0 K)**: -0.1194 eV per atom
**E_tot**: -36.6 eV per cell

Cell lengths 4.5030, 5.5077, 8.4004 Å; angles 116.83, 90.00, 114.13 degrees
With the nearest neighbours (Å) after each atom.
Element x y z (fractional)
Hf1 0.6631 0.3261 0.6729  8 Zn 2.94-3.20, 4 Hg 3.03-3.10, 2 Hf 3.13
Hf2 0.0000 0.0000 0.0000  8 Zn 2.93-3.13, 4 Hg 3.04, 2 Hf 3.13
Hf3 0.3369 0.6739 0.3271  8 Zn 2.94-3.20, 4 Hg 3.03-3.10, 2 Hf 3.13
Zn1 0.7353 0.4707 0.0576  2 Zn 2.52, 1 Hg 2.66
Zn2 0.2647 0.5293 0.9424  2 Zn 2.52, 1 Hg 2.66
Zn3 0.9527 0.9055 0.6116  1 Zn 2.49, 2 Hg 2.65
Zn4 0.0473 0.0945 0.3884  1 Zn 2.49, 2 Hg 2.65
Hg1 0.6176 0.2352 0.2803  3 Zn 2.65-2.66
Hg2 0.3824 0.7648 0.7197  3 Zn 2.65-2.66